Compound: KCdSnW2
Source: Alexandria via LeMat-Bulk
Functional: PBE
Structure: optimized geometry

a = 4.7368 Å, b = 4.7368 Å, c = 5.4247 Å
α = 90.00°, β = 90.00°, γ = 90.00°
Space group P4/mmm (No. 123)
Unique sites:
K 0.0000 0.0000 0.0000
Cd 0.5000 0.5000 0.5000
Sn 0.0000 0.0000 0.5000
W 0.0000 0.5000 0.0000

Summary:
total magnetization: 0.14 μB per atom
total DFT energy (no corrections): -3.275 eV/atom